1.
LaNdCd6Ge3 | PBE-GGA | optimized geometry

Lattice parameters (Å, degrees): 8.320 8.320 4.339 90.00 90.00 120.00
Atoms (fractional coordinates):
La 0.000 0.000 0.000
Nd 0.667 0.333 0.000
Cd 0.051 0.668 0.500
Cd 0.129 0.467 0.000
Cd 0.332 0.383 0.500
Cd 0.338 0.871 0.000
Cd 0.533 0.662 0.000
Cd 0.617 0.949 0.500
Ge 0.335 0.066 0.500
Ge 0.731 0.665 0.500
Ge 0.934 0.269 0.500

Summary:
As for the space-group type: No. 174. The calculation puts the size of the total moment at 0.001 μB/atom. Its total energy is -2.957 eV/atom.

---

2.
Hf2InFe | PBE-GGA | optimized geometry

Lattice parameters (Å, degrees): 4.713 4.713 4.713 60.00 60.00 60.00
Atoms (fractional coordinates):
Hf 0.000 0.000 0.000
Hf 0.250 0.250 0.250
In 0.500 0.500 0.500
Fe 0.750 0.750 0.750

Summary:
As for the space-group type: No. 216. The calculation puts the size of the total moment at 0.237 μB/atom. Its total energy is -7.530 eV/atom.